[1]
CaZnSeBr2 (SCAN, single point on PBEsol structure); formation energy without anion corrections = -1066 meV/atom; ρ = 4.5 Mg/m³; total magnetic moment = 0.00 μB per atom
1.0
-1.3844 0.7034 -4.7664
4.6767 -0.9962 -1.5054
-1.1738 -4.9269 -0.3862
Zn Ca Se Br
1 1 1 2
Cartesian
0.0000 0.0000 0.0000
1.0593 -2.6098 -3.3290
-0.5869 -2.4634 -0.1931
2.3383 -0.4981 -0.7527
-0.6922 0.3517 -2.3832

***

[2]
Ca2SiBr (SCAN, single point on PBEsol structure); formation energy without anion corrections = -904 meV/atom; ρ = 3.2 Mg/m³; total magnetic moment = 0.00 μB per atom
1.0
3.3749 0.0406 0.0406
-0.0718 5.3586 0.0027
-0.0718 -0.0035 5.3586
Br Ca Si
1 2 1
Cartesian
1.6874 0.0203 0.0203
-0.0359 -0.0018 2.6793
-0.0359 2.6793 0.0013
1.6157 2.6978 2.7009

***

[3]
CaSiBr (SCAN, single point on PBEsol structure); formation energy without anion corrections = -420 meV/atom; ρ = 3.0 Mg/m³; total magnetic moment = 0.27 μB per atom
1.0
-1.4165 1.2232 2.7941
-1.4163 -2.9923 0.5919
7.2573 -1.1207 2.1460
Ca Si Br
1 1 1
Cartesian
4.0245 -1.3816 2.6452
0.8886 -1.6758 3.2081
3.9358 -2.7219 5.2109

***

[4]
Ca3SiBr (SCAN, single point on PBEsol structure); formation energy without anion corrections = -566 meV/atom; ρ = 2.1 Mg/m³; total magnetic moment = 0.00 μB per atom
1.0
5.6286 0.0000 0.0000
0.0000 5.6286 0.0000
0.0000 0.0000 5.6286
Ca Si Br
3 1 1
Cartesian
0.0000 2.8143 0.0000
0.0000 0.0000 2.8143
2.8143 0.0000 0.0000
0.0000 0.0000 0.0000
2.8143 2.8143 2.8143

***

[5]
SrCaBr2 (SCAN, single point on PBEsol structure); formation energy without anion corrections = -1423 meV/atom; ρ = 3.6 Mg/m³; total magnetic moment = 0.35 μB per atom
1.0
-2.2797 2.5986 1.9706
-5.0511 -2.9560 2.0718
0.3868 -1.2209 6.0748
Sr Ca Br
1 1 2
Cartesian
-1.1399 1.2993 0.9853
-2.3322 -2.0884 4.0733
-4.0006 -2.2909 6.4275
-2.9435 0.7126 3.6897

***

[6]
SrCaBr2 (SCAN, single point on PBEsol structure); formation energy without anion corrections = -1420 meV/atom; ρ = 3.5 Mg/m³; total magnetic moment = 0.38 μB per atom
1.0
-0.9707 -0.7561 -3.9664
-5.1546 -0.4829 3.2630
1.1493 5.9911 0.4861
Sr Ca Br
1 1 2
Cartesian
-2.0027 2.7541 1.8746
0.0000 0.0000 0.0000
-2.5773 -0.2414 1.6315
0.5746 2.9955 0.2431

***

[7]
Sr2CaBr (SCAN, single point on PBEsol structure); formation energy without anion corrections = -367 meV/atom; ρ = 2.9 Mg/m³; total magnetic moment = 0.00 μB per atom
1.0
-1.7148 -2.3944 -3.0224
-2.0916 -3.6791 4.1014
-5.7564 3.6712 0.3577
Sr Ca Br
2 1 1
Cartesian
0.0000 0.0000 0.0000
-3.7356 0.6384 -1.3323
-3.9240 -0.0040 2.2295
-1.9032 -3.0368 0.5395

***

[8]
SrCaBr2 (SCAN, single point on PBEsol structure); formation energy without anion corrections = -1374 meV/atom; ρ = 3.3 Mg/m³; total magnetic moment = 0.05 μB per atom
1.0
-0.5308 3.3102 -1.6861
-2.6858 0.8347 2.4843
7.0084 4.2551 6.1472
Sr Ca Br
1 1 2
Cartesian
1.8959 4.2000 3.4727
-1.6083 2.0724 0.3991
4.6861 2.8451 4.1103
2.3222 1.4099 2.0369

***

[9]
SrCaBr2 (SCAN, single point on PBEsol structure); formation energy without anion corrections = -764 meV/atom; ρ = 3.6 Mg/m³; total magnetic moment = 0.45 μB per atom
1.0
-2.9911 -3.0942 -3.8015
-1.7848 -5.2835 1.3681
-5.5848 -1.0066 0.8769
Sr Ca Br
1 1 2
Cartesian
-2.5902 -2.3461 -0.3891
-5.1804 -4.6922 -0.7783
0.0000 0.0000 0.0000
-7.7706 -7.0382 -1.1674

***

[10]
Sr2CaBr (SCAN, single point on PBEsol structure); formation energy without anion corrections = -822 meV/atom; ρ = 3.1 Mg/m³; total magnetic moment = 0.16 μB per atom
1.0
4.0694 0.0000 0.0000
2.0347 3.5242 0.0000
2.0347 1.1747 11.0254
Sr Ca Br
2 1 1
Cartesian
2.0347 1.1747 3.2151
6.1041 3.5242 7.8103
0.0000 0.0000 0.0000
4.0694 2.3495 5.5127

***

[11]
SrCaBr (SCAN, single point on PBEsol structure); formation energy without anion corrections = -555 meV/atom; ρ = 3.2 Mg/m³; total magnetic moment = 0.34 μB per atom
1.0
-1.9520 -2.9974 -3.9712
0.5908 -5.3105 0.1214
-4.2381 -3.1413 0.8577
Sr Ca Br
1 1 1
Cartesian
-2.7997 -5.7246 -1.4960
0.0000 0.0000 0.0000
-1.3998 -2.8623 -0.7480

***

[12]
SrCaBr2 (SCAN, single point on PBEsol structure); formation energy without anion corrections = -1578 meV/atom; ρ = 3.3 Mg/m³; total magnetic moment = 0.00 μB per atom
1.0
-3.4003 -1.5384 0.8510
1.7207 -3.2779 0.9497
0.0800 4.8210 8.8048
Sr Ca Br
1 1 2
Cartesian
-1.5503 -1.1018 6.6969
-0.4214 2.3409 8.8436
-2.9356 -1.1659 1.2947
-0.8523 0.8060 4.3265

***

[13]
Sr2CaBr (SCAN, single point on PBEsol structure); formation energy without anion corrections = -708 meV/atom; ρ = 3.2 Mg/m³; total magnetic moment = 0.08 μB per atom
1.0
3.8511 0.0000 0.0000
0.0000 3.8511 0.0000
0.0000 0.0000 10.3926
Sr Ca Br
2 1 1
Cartesian
0.0000 0.0000 8.1477
0.0000 0.0000 2.2450
1.9255 1.9255 5.1963
1.9255 1.9255 0.0000

***

[14]
Sr2CaBr2 (SCAN, single point on PBEsol structure); formation energy without anion corrections = -1211 meV/atom; ρ = 3.1 Mg/m³; total magnetic moment = 0.00 μB per atom
1.0
-5.1268 0.1469 -0.2965
0.2541 -1.2013 -4.9886
2.1225 -6.8642 4.4064
Sr Ca Br
2 1 2
Cartesian
-0.2290 -5.3948 1.2874
-2.5211 -2.5238 -2.1661
0.0000 0.0000 0.0000
-0.0298 -4.2963 -1.6123
-2.7203 -3.6223 0.7337

***

[15]
Sr2CaBr (SCAN, single point on PBEsol structure); formation energy without anion corrections = -402 meV/atom; ρ = 2.9 Mg/m³; total magnetic moment = 0.00 μB per atom
1.0
-3.3785 3.5872 0.7849
-3.4697 -2.7692 -2.2784
1.8158 -3.2025 6.5912
Sr Ca Br
2 1 1
Cartesian
0.0000 0.0000 0.0000
-2.4934 0.3969 3.3147
-2.5390 -2.7813 1.7830
-3.4241 0.4090 -0.7468

***

[16]
Ca2TaBr (SCAN, single point on PBEsol structure); formation energy without anion corrections = -168 meV/atom; ρ = 5.8 Mg/m³; total magnetic moment = 0.00 μB per atom
1.0
3.4400 0.0000 0.0000
1.7200 2.9791 0.0000
1.7200 0.9930 9.4722
Ca Br Ta
2 1 1
Cartesian
1.7200 0.9931 2.2767
5.1600 2.9791 7.1955
0.0000 0.0000 0.0000
3.4400 1.9861 4.7361

***

[17]
CaTaBr3 (SCAN, single point on PBEsol structure); formation energy without anion corrections = -106 meV/atom; ρ = 4.7 Mg/m³; total magnetic moment = 0.80 μB per atom
1.0
5.4451 0.0000 0.0000
0.0000 5.4451 0.0000
0.0000 0.0000 5.4451
Ca Br Ta
1 3 1
Cartesian
0.0000 0.0000 0.0000
0.0000 2.7226 0.0000
0.0000 0.0000 2.7226
2.7226 0.0000 0.0000
2.7226 2.7226 2.7226

***

[18]
CaTaBr (SCAN, single point on PBEsol structure); formation energy without anion corrections = 959 meV/atom; ρ = 7.4 Mg/m³; total magnetic moment = 0.00 μB per atom
1.0
-0.8577 4.4708 -0.4181
-3.7480 1.7962 1.9037
0.3749 2.7489 3.6333
Ca Br Ta
1 1 1
Cartesian
0.0000 0.0000 0.0000
-1.0577 2.2540 1.2797
-2.1154 4.5080 2.5595

***

[19]
Ca2TaBr (SCAN, single point on PBEsol structure); formation energy without anion corrections = 441 meV/atom; ρ = 5.6 Mg/m³; total magnetic moment = 0.04 μB per atom
1.0
3.3399 0.0000 0.0000
0.0000 5.9327 0.0000
-1.6699 -2.9663 5.1338
Ca Br Ta
2 1 1
Cartesian
1.6699 2.9663 2.3040
0.0000 0.0000 2.8298
0.0000 2.9663 0.0000
1.6699 0.0000 0.0000

***

[20]
Ca2TaBr (SCAN, single point on PBEsol structure); formation energy without anion corrections = 181 meV/atom; ρ = 5.6 Mg/m³; total magnetic moment = 0.18 μB per atom
1.0
3.2446 0.0000 0.0000
0.0000 5.5217 0.0162
-1.6223 -1.7424 5.5894
Ca Br Ta
2 1 1
Cartesian
1.6223 3.5696 5.3603
1.6223 0.7754 3.1136
0.0000 3.4586 2.3695
1.6223 2.5159 0.3759

***

[21]
CaTeBr2 (SCAN, single point on PBEsol structure); formation energy without anion corrections = -891 meV/atom; ρ = 4.4 Mg/m³; total magnetic moment = 0.37 μB per atom
1.0
-2.4602 0.8729 -2.9129
0.3451 -1.7981 -3.4564
-6.5140 -6.9999 0.7779
Ca Te Br
1 1 2
Cartesian
-4.4026 -4.0640 -2.7517
-2.2516 -2.0899 -1.3508
-2.2707 -1.1045 -6.2916
-6.1338 -5.5546 -4.3623

***

[22]
CaTeBr2 (SCAN, single point on PBEsol structure); formation energy without anion corrections = -967 meV/atom; ρ = 5.0 Mg/m³; total magnetic moment = 0.00 μB per atom
1.0
-0.5025 -3.4032 -1.4286
2.0278 -1.4592 2.7629
-6.4721 -0.8500 4.3012
Ca Te Br
1 1 2
Cartesian
-3.0499 -0.4005 2.0269
-4.0859 -3.0680 3.8894
-6.3410 -0.8328 4.2141
-1.1782 -2.6861 1.9570

***

[23]
CaTeBr2 (SCAN, single point on PBEsol structure); formation energy without anion corrections = -904 meV/atom; ρ = 5.1 Mg/m³; total magnetic moment = 0.00 μB per atom
1.0
-0.2226 4.5012 -0.5647
-4.5249 -0.4358 -1.6900
-1.7290 0.4797 4.5057
Ca Te Br
1 1 2
Cartesian
-3.2383 2.2725 1.1255
-0.1113 2.2506 -0.2823
-0.8645 0.2399 2.2529
-2.2625 -0.2179 -0.8450

***

[24]
CaTeBr2 (SCAN, single point on PBEsol structure); formation energy without anion corrections = -773 meV/atom; ρ = 5.0 Mg/m³; total magnetic moment = 0.51 μB per atom
1.0
5.3631 0.0000 0.0000
2.6816 4.6446 0.0000
2.6816 1.5482 4.3790
Ca Te Br
1 1 2
Cartesian
5.3631 3.0964 2.1895
2.6816 1.5482 1.0947
0.0000 0.0000 0.0000
8.0447 4.6446 3.2842

***

[25]
CaTiBr2 (SCAN, single point on PBEsol structure); formation energy without anion corrections = -738 meV/atom; ρ = 3.7 Mg/m³; total magnetic moment = 0.96 μB per atom
1.0
5.1562 0.0000 0.0000
0.0000 5.1562 0.0000
-2.5781 -2.5781 8.3057
Ca Br Ti
2 4 2
Cartesian
2.5781 0.0000 4.1529
2.5781 2.5781 0.0000
1.1255 3.8672 2.0764
4.0307 1.2891 2.0764
-1.2891 -1.4526 6.2293
1.2891 1.4526 6.2293
0.0000 2.5781 4.1529
0.0000 0.0000 0.0000

***

[26]
CaTlBr3 (SCAN, single point on PBEsol structure); formation energy without anion corrections = -1736 meV/atom; ρ = 5.2 Mg/m³; total magnetic moment = 0.00 μB per atom
1.0
-4.0602 1.0895 -0.0425
0.2645 -7.0669 1.5080
0.4945 2.2504 10.4596
Tl Ca Br
2 2 6
Cartesian
-2.8111 -2.2340 3.3553
-0.4902 -1.4929 8.5698
-2.0301 0.5447 -0.0212
-1.7829 1.6700 5.2086
-2.8413 -2.0489 11.0005
-0.2616 -0.7752 5.1210
-3.0397 -2.9517 6.8042
-0.4600 -1.6781 0.9246
-1.3987 -5.0608 3.8968
-1.9026 1.3339 8.0283

***

[27]
CaTl2Br (SCAN, single point on PBEsol structure); formation energy without anion corrections = -692 meV/atom; ρ = 7.5 Mg/m³; total magnetic moment = 0.00 μB per atom
1.0
-2.0537 0.1222 -3.8784
-0.0969 -4.3816 0.2590
-4.2669 2.4156 4.6475
Tl Ca Br
2 1 1
Cartesian
-3.1603 1.2689 0.3846
-2.1819 -0.9830 2.4533
-1.0753 -2.1297 -1.8097
0.0000 0.0000 0.0000

***

[28]
CaTl3Br (SCAN, single point on PBEsol structure); formation energy without anion corrections = 196 meV/atom; ρ = 5.8 Mg/m³; total magnetic moment = 0.00 μB per atom
1.0
-3.8598 -4.2767 1.4664
3.3995 -4.0165 -2.7657
2.9805 -0.9572 5.0536
Tl Ca Br
3 1 1
Cartesian
1.6998 -2.0082 -1.3829
1.4902 -0.4786 2.5268
-1.9299 -2.1383 0.7332
0.0000 0.0000 0.0000
1.2601 -4.6252 1.8771

***

[29]
CaTl2Br (SCAN, single point on PBEsol structure); formation energy without anion corrections = -806 meV/atom; ρ = 7.6 Mg/m³; total magnetic moment = 0.00 μB per atom
1.0
-0.3525 3.5158 -0.5124
-3.2985 -0.1331 1.3556
3.3682 1.5371 8.2294
Tl Ca Br
2 1 1
Cartesian
-3.2364 -0.1071 1.4912
0.8056 2.8838 6.7932
-0.9339 2.1018 2.6246
1.4675 0.6768 3.6340

***

[30]
CaTl2Br (SCAN, single point on PBEsol structure); formation energy without anion corrections = -693 meV/atom; ρ = 7.7 Mg/m³; total magnetic moment = 0.00 μB per atom
1.0
3.6594 0.0000 0.0000
-1.8297 5.2326 0.2338
0.0000 -1.3430 5.9060
Tl Ca Br
2 1 1
Cartesian
1.8297 5.1382 0.4406
1.8297 2.2202 1.3443
0.0000 1.6454 4.1275
1.8297 -0.5530 3.4142